## NaCa3Zn (PBE)

Data for an optimized crystal structure of NaCa3Zn.

```
NaCa3Zn
1.0
-0.492 -5.638 -1.433
5.149 -1.091 2.527
-2.708 -1.051 5.064
Na Zn Ca
1 1 3
direct
0.500 0.500 0.500
0.000 0.000 0.000
0.000 0.500 0.000
0.000 0.000 0.500
0.500 0.000 0.000
```

Summary:
Uncorrected energy (eV per atom): -1.705
Energy relative to the lowest polymorph listed for this composition (kJ/mol of formula units): 35
Space group: Pm-3m, No. 221
Energy of formation from the pure elements (meV/atom): 15.0

---

## LaHo4Sc3 (PBE)

Data for an optimized crystal structure of LaHo4Sc3.

```
LaHo4Sc3
1.0
-5.264 2.039 2.206
-2.754 -6.478 -0.584
3.357 -2.345 10.179
La Ho Sc
2 8 6
direct
0.146 0.381 0.000
0.646 0.619 0.500
0.140 0.868 0.000
0.645 0.128 0.000
0.987 0.131 0.255
0.487 0.869 0.245
0.145 0.872 0.500
0.640 0.132 0.500
0.487 0.869 0.755
0.987 0.131 0.745
0.651 0.625 0.000
0.979 0.620 0.252
0.479 0.380 0.248
0.151 0.375 0.500
0.479 0.380 0.752
0.979 0.620 0.748
```

Summary:
Uncorrected energy (eV per atom): -5.242
Energy relative to the lowest polymorph listed for this composition (kJ/mol of formula units): 0
Space group: Pmn2_1, No. 31
Energy of formation from the pure elements (meV/atom): 37.2

---

## Ac5Pr5Ho2 (PBE)

Data for an optimized crystal structure of Ac5Pr5Ho2.

```
Ac5Pr5Ho2
1.0
-1.575 -0.753 -5.723
5.437 -6.929 -3.712
-4.475 -8.444 -0.786
Ac Pr Ho
5 5 2
direct
0.877 0.785 0.460
0.252 0.737 0.760
0.748 0.263 0.240
0.123 0.215 0.540
0.000 0.000 0.000
0.500 0.500 0.500
0.376 0.293 0.955
0.377 0.961 0.284
0.623 0.039 0.716
0.624 0.707 0.045
0.874 0.455 0.798
0.126 0.545 0.202
```

Summary:
Uncorrected energy (eV per atom): -4.396
Space group: C2/m, No. 12
Energy of formation from the pure elements (meV/atom): 70.7

---

## LuV2W (PBE)

Data for an optimized crystal structure of LuV2W.

```
LuV2W
1.0
3.206 0.000 0.000
0.000 3.206 0.000
0.000 0.000 6.819
Lu W V
1 1 2
direct
0.500 0.500 0.500
0.500 0.500 0.000
0.000 0.000 0.800
0.000 0.000 0.200
```

Summary:
Uncorrected energy (eV per atom): -8.705
Energy relative to the lowest polymorph listed for this composition (kJ/mol of formula units): 0
Space group: P4/mmm, No. 123
Energy of formation from the pure elements (meV/atom): 223.2

---

## RbSrNF2 (PBE)

Data for an optimized crystal structure of RbSrNF2.

```
RbSrNF2
1.0
-3.595 0.327 3.138
-0.386 -4.768 0.054
3.478 -0.236 4.009
Sr N Rb F
1 1 1 2
direct
0.000 0.000 0.000
0.000 0.000 0.500
0.500 0.500 0.500
0.000 0.500 0.000
0.500 0.000 0.000
```

Summary:
Uncorrected energy (eV per atom): -4.669
Energy relative to the lowest polymorph listed for this composition (kJ/mol of formula units): 0
Space group: P4/mmm, No. 123
ΔE_f (raw) (eV per atom): -1.726

---

## Ca4La3Pr (PBE)

Data for an optimized crystal structure of Ca4La3Pr.

```
Ca4La3Pr
1.0
-3.628 -1.586 -3.638
7.562 0.649 -7.824
2.711 -10.265 1.770
Pr Ca La
2 8 6
direct
0.064 0.387 0.000
0.564 0.613 0.500
0.064 0.869 0.000
0.564 0.132 0.000
0.064 0.131 0.249
0.564 0.869 0.251
0.064 0.868 0.500
0.564 0.131 0.500
0.564 0.869 0.749
0.064 0.131 0.751
0.564 0.612 0.000
0.064 0.611 0.250
0.564 0.389 0.250
0.064 0.388 0.500
0.564 0.389 0.750
0.064 0.611 0.750
```

Summary:
Uncorrected energy (eV per atom): -3.423
Space group: Pmmn, No. 59
Energy of formation from the pure elements (meV/atom): 22.6

---

## Ba3Li4Au4 (PBE)

Data for an optimized crystal structure of Ba3Li4Au4.

```
Ba3Li4Au4
1.0
7.187 0.000 0.000
-2.396 6.776 0.000
-2.396 -3.388 5.868
Ba Li Au
3 4 4
direct
0.500 0.500 0.000
0.500 0.000 0.500
0.000 0.500 0.500
0.000 0.246 0.000
0.000 0.000 0.246
0.246 0.000 0.000
0.754 0.754 0.754
0.000 0.611 0.000
0.611 0.000 0.000
0.000 0.000 0.611
0.389 0.389 0.389
```

Summary:
Uncorrected energy (eV per atom): -2.931
Energy relative to the lowest polymorph listed for this composition (kJ/mol of formula units): 21
Space group: I-43m, No. 217
Energy of formation from the pure elements (meV/atom): -518.9

---

## Tb6C3Cl2 (PBE)

Data for an optimized crystal structure of Tb6C3Cl2.

```
Tb6C3Cl2
1.0
-4.306 -3.511 -3.154
0.654 -6.343 -0.301
-4.924 -1.790 4.394
Tb C Cl
6 3 2
direct
0.400 0.672 0.798
0.729 0.000 0.797
0.072 0.328 0.798
0.271 0.000 0.203
0.600 0.328 0.202
0.928 0.672 0.202
0.000 0.000 0.000
0.332 0.336 0.000
0.668 0.664 0.000
0.167 0.666 0.500
0.833 0.334 0.500
```

Summary:
Uncorrected energy (eV per atom): -6.245
Space group: C2/m, No. 12
ΔE_f (raw) (eV per atom): -0.868

---

| no. | DOS(E_F) (states/eV/atom) | spin magnetization (μB per formula unit) |
| --- | --- | --- |
| 1 | 1.005 | 0.00 |
| 2 | 1.543 | 0.00 |
| 3 | 1.533 | 0.00 |
| 4 | 1.617 | 0.88 |
| 5 | 0.224 | 2.00 |
| 6 | 1.392 | 0.00 |
| 7 | 0.634 | 0.00 |
| 8 | 0.413 | 0.00 |